Entry from Alexandria: a relaxed Pm2Er4Th5 crystal (PBE-GGA).

Lattice parameters (Å, degrees): 3.473 8.790 11.678 85.61 90.00 90.00
Element x y z (fractional)
Er 0.500 0.304 0.555
Th 0.000 0.577 0.712
Th 0.000 0.203 0.826
Er 0.500 0.840 0.904
Er 0.500 0.696 0.445
Pm 0.000 0.055 0.364
Er 0.500 0.160 0.096
Th 0.000 0.423 0.288
Th 0.000 0.797 0.174
Th 0.000 0.500 0.000
Pm 0.000 0.945 0.636

- DOS(E_F) (states/eV per atom) = 1.59
- size of the total moment (μB per atom) = 0.000
- energy (Ry per atom) = -0.4238
- formation energy (meV per atom) = 129

---

Entry from Alexandria: a relaxed MgAsO3 crystal (PBE-GGA).

Lattice parameters (Å, degrees): 3.478 4.889 8.925 105.90 90.00 90.00
Element x y z (fractional)
Mg 0.750 0.393 0.375
O 0.250 0.693 0.424
O 0.250 0.141 0.286
O 0.250 0.452 0.821
O 0.750 0.632 0.179
As 0.250 0.770 0.236
O 0.750 0.855 0.714
Mg 0.250 0.019 0.625
O 0.750 0.270 0.576
As 0.750 0.534 0.764

- ΔE_f (raw) (eV per atom) = -1.73
- DOS(E_F) (states/eV per atom) = 0.22
- size of the total moment (μB per atom) = 0.000
- energy (Ry per atom) = -0.4379

---

Entry from Alexandria: a relaxed Th7Zn2Tc2 crystal (PBE-GGA).

Lattice parameters (Å, degrees): 3.850 9.428 9.428 64.35 78.22 78.22
Element x y z (fractional)
Th 0.819 0.076 0.285
Zn 0.500 0.353 0.647
Th 0.373 0.732 0.521
Th 0.500 0.033 0.967
Tc 0.264 0.319 0.152
Th 0.627 0.479 0.268
Th 0.852 0.412 0.884
Tc 0.736 0.848 0.681
Th 0.181 0.715 0.924
Th 0.148 0.116 0.588
Zn 0.000 0.772 0.228

- DOS(E_F) (states/eV per atom) = 1.22
- size of the total moment (μB per atom) = 0.000
- energy (Ry per atom) = -0.5108
- formation energy (meV per atom) = -111

---

Entry from Alexandria: a relaxed RbLiDy2Te4 crystal (PBE-GGA).

Lattice parameters (Å, degrees): 4.497 7.903 15.767 90.00 90.00 106.53
Element x y z (fractional)
Te 0.000 0.000 0.000
Dy 0.633 0.266 0.437
Te 0.000 0.000 0.500
Dy 0.633 0.266 0.063
Rb 0.112 0.225 0.750
Rb 0.888 0.775 0.250
Li 0.833 0.666 0.750
Dy 0.367 0.734 0.563
Te 0.265 0.529 0.106
Te 0.735 0.471 0.606
Li 0.167 0.334 0.250
Te 0.430 0.860 0.750
Dy 0.367 0.734 0.937
Te 0.570 0.140 0.250
Te 0.735 0.471 0.894
Te 0.265 0.529 0.394

- ΔE_f (raw) (eV per atom) = -1.31
- size of the total moment (μB per atom) = 0.000
- energy (Ry per atom) = -0.3231

---

no.,volume (Å³ per cell)
1,355
2,146
3,299
4,537